1.
{
  "formula": "Hf5GaSn3",
  "functional": "PBE",
  "state": "optimized geometry",
  "delta_e_f_ev_per_atom": -0.4822,
  "m_tot_mub_per_atom": 0.0000,
  "dos_at_fermi_per_ev_fu": 6.1,
  "energy_ev_per_atom": -7.683,
  "space_group": "No. 193",
  "lattice": [[8.635, 0.000, 0.000], [-4.318, 7.478, 0.000], [0.000, 0.000, 5.836]],
  "species": ["Hf", "Hf", "Hf", "Hf", "Hf", "Hf", "Hf", "Hf", "Hf", "Hf", "Ga", "Ga", "Sn", "Sn", "Sn", "Sn", "Sn", "Sn"],
  "frac_coords": [[0.000, 0.266, 0.250], [0.000, 0.734, 0.750], [0.266, 0.000, 0.250], [0.266, 0.266, 0.750], [0.333, 0.667, 0.000], [0.333, 0.667, 0.500], [0.667, 0.333, 0.000], [0.667, 0.333, 0.500], [0.734, 0.000, 0.750], [0.734, 0.734, 0.250], [0.000, 0.000, 0.000], [0.000, 0.000, 0.500], [0.000, 0.389, 0.750], [0.000, 0.611, 0.250], [0.389, 0.000, 0.750], [0.389, 0.389, 0.250], [0.611, 0.000, 0.250], [0.611, 0.611, 0.750]]
}

---

2.
{
  "formula": "CeZn2Au6",
  "functional": "PBE",
  "state": "optimized geometry",
  "delta_e_f_ev_per_atom": -0.0895,
  "m_tot_mub_per_atom": 0.1203,
  "dos_at_fermi_per_ev_fu": 10.7,
  "energy_ev_per_atom": -3.217,
  "space_group": "No. 227",
  "lattice": [[0.000, 5.919, 5.919], [5.919, 0.000, 5.919], [5.919, 5.919, 0.000]],
  "species": ["Ce", "Ce", "Zn", "Zn", "Zn", "Zn", "Au", "Au", "Au", "Au", "Au", "Au", "Au", "Au", "Au", "Au", "Au", "Au"],
  "frac_coords": [[0.125, 0.125, 0.125], [0.875, 0.875, 0.875], [0.000, 0.500, 0.500], [0.500, 0.000, 0.500], [0.500, 0.500, 0.000], [0.500, 0.500, 0.500], [0.125, 0.125, 0.625], [0.125, 0.625, 0.125], [0.125, 0.625, 0.625], [0.375, 0.375, 0.875], [0.375, 0.875, 0.375], [0.375, 0.875, 0.875], [0.625, 0.125, 0.125], [0.625, 0.125, 0.625], [0.625, 0.625, 0.125], [0.875, 0.375, 0.375], [0.875, 0.375, 0.875], [0.875, 0.875, 0.375]]
}